DFT (SCAN) results for a PBEsol-optimized structure of NbReBr2F.

Lattice parameters (Å, degrees): 5.0046 5.0046 4.9570 90.00 90.00 90.00
Element x y z (fractional)
Nb 0.0000 0.0000 0.0000
Re 0.0000 0.0000 0.5000
Br 0.0000 0.5000 0.0000
Br 0.5000 0.0000 0.0000
F 0.5000 0.5000 0.5000

Crystal system: tetragonal
Calculated total energy in eV per formula unit: -143.7
Volume in Å³/cell: 124